Entry 1:
Entry from Alexandria via LeMat-Bulk: an optimized crystal structure of Tb2Nd5DySc (PBE-GGA).

CIF file:
```
data_Tb2Nd5DySc
_chemical_formula_sum 'Tb4 Nd10 Dy2 Sc2'
_cell_length_a 5.389
_cell_length_b 11.302
_cell_length_c 10.245
_cell_angle_alpha 90.00
_cell_angle_beta 90.00
_cell_angle_gamma 103.79
_symmetry_space_group_name_H-M 'P 1'
_symmetry_Int_Tables_number 1
loop_
_symmetry_equiv_pos_as_xyz
'x,y,z'
loop_
_atom_site_label
_atom_site_fract_x
_atom_site_fract_y
_atom_site_fract_z
Nd1 0.278 0.557 0.321
Nd2 0.722 0.443 0.821
Nd3 0.373 0.746 0.008
Nd4 0.500 0.000 0.758
Nd5 0.721 0.443 0.196
Nd6 0.999 0.999 0.008
Nd7 0.500 0.000 0.258
Nd8 0.627 0.254 0.508
Nd9 0.001 0.001 0.508
Nd10 0.279 0.557 0.696
Sc1 0.213 0.426 0.009
Sc2 0.787 0.574 0.509
Tb1 0.884 0.769 0.757
Tb2 0.884 0.768 0.259
Tb3 0.116 0.232 0.759
Tb4 0.116 0.231 0.257
Dy1 0.398 0.797 0.508
Dy2 0.602 0.203 0.008
```

Properties
Energy of formation from the pure elements (meV/atom): 123.2
E_tot (eV per cell): -85.8
Size of the total moment (Bohr magnetons per cell): 0.00



Entry 2:
Entry from Alexandria via LeMat-Bulk: an optimized crystal structure of KBe2Ag (PBE-GGA).

CIF file:
```
data_KBe2Ag
_chemical_formula_sum 'K1 Be2 Ag1'
_cell_length_a 4.728
_cell_length_b 4.728
_cell_length_c 4.728
_cell_angle_alpha 60.00
_cell_angle_beta 60.00
_cell_angle_gamma 60.00
_symmetry_space_group_name_H-M 'P 1'
_symmetry_Int_Tables_number 1
loop_
_symmetry_equiv_pos_as_xyz
'x,y,z'
loop_
_atom_site_label
_atom_site_fract_x
_atom_site_fract_y
_atom_site_fract_z
K1 0.000 0.000 0.000
Ag1 0.500 0.500 0.500
Be1 0.750 0.750 0.750
Be2 0.250 0.250 0.250
```

Properties
Energy of formation from the pure elements (meV/atom): 1024.5
E_tot (eV per cell): -7.3
Size of the total moment (Bohr magnetons per cell): 0.00
Relative energy among the computed polymorphs (eV per atom): 0.759



Entry 3:
Entry from Alexandria via LeMat-Bulk: an optimized crystal structure of LaDy6Er6 (PBE-GGA).

CIF file:
```
data_LaDy6Er6
_chemical_formula_sum 'La1 Dy6 Er6'
_cell_length_a 6.572
_cell_length_b 6.596
_cell_length_c 11.009
_cell_angle_alpha 90.00
_cell_angle_beta 90.00
_cell_angle_gamma 115.66
_symmetry_space_group_name_H-M 'P 1'
_symmetry_Int_Tables_number 1
loop_
_symmetry_equiv_pos_as_xyz
'x,y,z'
loop_
_atom_site_label
_atom_site_fract_x
_atom_site_fract_y
_atom_site_fract_z
Er1 0.500 0.500 0.699
Er2 0.000 0.500 0.233
Er3 0.500 0.000 0.222
Er4 0.500 0.000 0.778
Er5 0.000 0.500 0.767
Er6 0.500 0.500 0.301
Dy1 0.000 0.000 0.339
Dy2 0.663 0.377 0.000
Dy3 0.337 0.623 0.000
Dy4 0.000 0.000 0.661
Dy5 0.732 0.261 0.500
Dy6 0.268 0.739 0.500
La1 0.000 0.000 0.000
```

Properties
Energy of formation from the pure elements (meV/atom): 217.5
E_tot (eV per cell): -57.1
Size of the total moment (Bohr magnetons per cell): 0.00



Entry 4:
Entry from Alexandria via LeMat-Bulk: an optimized crystal structure of Y4Hg3Pd (PBE-GGA).

CIF file:
```
data_Y4Hg3Pd
_chemical_formula_sum 'Y4 Hg3 Pd1'
_cell_length_a 3.660
_cell_length_b 3.660
_cell_length_c 14.809
_cell_angle_alpha 90.00
_cell_angle_beta 90.00
_cell_angle_gamma 90.00
_symmetry_space_group_name_H-M 'P 1'
_symmetry_Int_Tables_number 1
loop_
_symmetry_equiv_pos_as_xyz
'x,y,z'
loop_
_atom_site_label
_atom_site_fract_x
_atom_site_fract_y
_atom_site_fract_z
Hg1 0.500 0.500 0.755
Hg2 0.500 0.500 0.245
Hg3 0.500 0.500 0.500
Y1 0.000 0.000 0.887
Y2 0.000 0.000 0.113
Y3 0.000 0.000 0.629
Y4 0.000 0.000 0.371
Pd1 0.500 0.500 0.000
```

Properties
Energy of formation from the pure elements (meV/atom): -596.5
E_tot (eV per cell): -36.7
Size of the total moment (Bohr magnetons per cell): 0.00



Entry 5:
Entry from Alexandria via LeMat-Bulk: an optimized crystal structure of LiYHf2Ti (PBE-GGA).

CIF file:
```
data_LiYHf2Ti
_chemical_formula_sum 'Li1 Y1 Hf2 Ti1'
_cell_length_a 5.177
_cell_length_b 4.468
_cell_length_c 5.177
_cell_angle_alpha 90.00
_cell_angle_beta 90.00
_cell_angle_gamma 90.00
_symmetry_space_group_name_H-M 'P 1'
_symmetry_Int_Tables_number 1
loop_
_symmetry_equiv_pos_as_xyz
'x,y,z'
loop_
_atom_site_label
_atom_site_fract_x
_atom_site_fract_y
_atom_site_fract_z
Hf1 0.000 0.000 0.500
Hf2 0.500 0.000 0.000
Ti1 0.500 0.500 0.500
Y1 0.000 0.000 0.000
Li1 0.000 0.500 0.000
```

Properties
Energy of formation from the pure elements (meV/atom): 1506.9
E_tot (eV per cell): -28.6
Size of the total moment (Bohr magnetons per cell): 0.00



Entry 6:
Entry from Alexandria via LeMat-Bulk: an optimized crystal structure of Cr2ReSb (PBE-GGA).

CIF file:
```
data_Cr2ReSb
_chemical_formula_sum 'Cr2 Re1 Sb1'
_cell_length_a 4.733
_cell_length_b 4.733
_cell_length_c 4.634
_cell_angle_alpha 76.92
_cell_angle_beta 76.92
_cell_angle_gamma 37.48
_symmetry_space_group_name_H-M 'P 1'
_symmetry_Int_Tables_number 1
loop_
_symmetry_equiv_pos_as_xyz
'x,y,z'
loop_
_atom_site_label
_atom_site_fract_x
_atom_site_fract_y
_atom_site_fract_z
Cr1 0.992 0.992 0.056
Cr2 0.508 0.508 0.444
Sb1 0.750 0.750 0.750
Re1 0.250 0.250 0.250
```

Properties
ΔE_f (raw) (eV/atom): 0.479
E_tot (eV per cell): -33.9
Size of the total moment (Bohr magnetons per cell): 0.00